# 1
# CuMo2Br PBE-GGA relaxed
# - Energy relative to the lowest polymorph listed for this composition: 355 meV per atom
# - Fermi-level density of states: 2.8 states/eV/f.u.
# - ρ: 8.1 g/cm3
# - Symmetry: Cm
# - Energy: -6.123 eV/atom
# - Total magnetic moment: 0.0000 μB per atom
data_CuMo2Br
_cell_length_a 4.888
_cell_length_b 4.888
_cell_length_c 4.938
_cell_angle_alpha 75.39
_cell_angle_beta 75.39
_cell_angle_gamma 37.16
_symmetry_space_group_name_H-M 'P 1'
_symmetry_Int_Tables_number 1
_symmetry_space_group_name_Hall 'P 1'
loop_
_atom_site_label
_atom_site_type_symbol
_atom_site_fract_x
_atom_site_fract_y
_atom_site_fract_z
Cu1 Cu 0.268 0.268 0.204
Mo1 Mo 0.019 0.019 0.018
Mo2 Mo 0.721 0.721 0.786
Br1 Br 0.491 0.491 0.492

=====

# 2
# CuMoBr3 PBE-GGA relaxed
# - Energy relative to the lowest polymorph listed for this composition: 0 meV per atom
# - Fermi-level density of states: 2.2 states/eV/f.u.
# - ρ: 4.5 g/cm3
# - Symmetry: Pm-3m
# - Energy: -3.607 eV/atom
# - Total magnetic moment: 0.7061 μB per atom
data_CuMoBr3
_cell_length_a 5.265
_cell_length_b 5.265
_cell_length_c 5.265
_cell_angle_alpha 90.00
_cell_angle_beta 90.00
_cell_angle_gamma 90.00
_symmetry_space_group_name_H-M 'P 1'
_symmetry_Int_Tables_number 1
_symmetry_space_group_name_Hall 'P 1'
loop_
_atom_site_label
_atom_site_type_symbol
_atom_site_fract_x
_atom_site_fract_y
_atom_site_fract_z
Cu1 Cu 0.500 0.500 0.500
Mo1 Mo 0.000 0.000 0.000
Br1 Br 0.500 0.000 0.000
Br2 Br 0.000 0.500 0.000
Br3 Br 0.000 0.000 0.500

=====

# 3
# CuMo2Br PBE-GGA relaxed
# - Energy relative to the lowest polymorph listed for this composition: 350 meV per atom
# - Fermi-level density of states: 3.5 states/eV/f.u.
# - ρ: 8.7 g/cm3
# - Symmetry: R-3m
# - Energy: -6.129 eV/atom
# - Total magnetic moment: 0.0000 μB per atom
data_CuMo2Br
_cell_length_a 8.731
_cell_length_b 8.731
_cell_length_c 8.731
_cell_angle_alpha 19.35
_cell_angle_beta 19.35
_cell_angle_gamma 19.35
_symmetry_space_group_name_H-M 'P 1'
_symmetry_Int_Tables_number 1
_symmetry_space_group_name_Hall 'P 1'
loop_
_atom_site_label
_atom_site_type_symbol
_atom_site_fract_x
_atom_site_fract_y
_atom_site_fract_z
Mo1 Mo 0.499 0.499 0.499
Br1 Br 0.250 0.250 0.250
Cu1 Cu 0.750 0.750 0.750
Mo2 Mo 0.001 0.001 0.001

=====

Number 1: formation energy from raw total energies 735 meV/atom. Number 2: formation energy from raw total energies 382 meV/atom. Number 3: formation energy from raw total energies 729 meV/atom.